Compound: ScVGe2
Source: Alexandria via LeMat-Bulk
Functional: PBE
Structure: relaxed

- ΔE_f (meV/atom) = -359
- space-group type = No. 166

Unit cell a=5.188 b=5.188 c=5.188 alpha=47.61 beta=47.61 gamma=47.61
Sites, in units of the cell vectors:
Sc (0.000, 0.000, 0.000)
V (0.500, 0.500, 0.500)
Ge (0.235, 0.235, 0.235)
Ge (0.765, 0.765, 0.765)



Compound: Zn3InB
Source: Alexandria via LeMat-Bulk
Functional: PBE
Structure: relaxed

- ΔE_f (meV/atom) = 374
- space-group type = No. 221

Unit cell a=4.363 b=4.363 c=4.363 alpha=90.00 beta=90.00 gamma=90.00
Sites, in units of the cell vectors:
Zn (0.000, 0.000, 0.500)
Zn (0.000, 0.500, 0.000)
Zn (0.500, 0.000, 0.000)
In (0.500, 0.500, 0.500)
B (0.000, 0.000, 0.000)



Compound: Zr2NbAl
Source: Alexandria via LeMat-Bulk
Functional: PBE
Structure: relaxed

- ΔE_f (meV/atom) = 13
- space-group type = No. 166

Unit cell a=9.748 b=9.748 c=9.748 alpha=18.68 beta=18.68 gamma=18.68
Sites, in units of the cell vectors:
Zr (0.250, 0.250, 0.250)
Zr (0.750, 0.750, 0.750)
Nb (0.500, 0.500, 0.500)
Al (0.000, 0.000, 0.000)



Compound: RbAl2GeS6
Source: Alexandria via LeMat-Bulk
Functional: PBE
Structure: relaxed

- space-group type = No. 15
- energy relative to the elements, uncorrected (meV per atom) = -697

Unit cell a=9.351 b=9.351 c=7.570 alpha=107.60 beta=107.60 gamma=96.35
Sites, in units of the cell vectors:
Rb (0.110, 0.890, 0.750)
Rb (0.890, 0.110, 0.250)
Al (0.248, 0.409, 0.926)
Al (0.409, 0.248, 0.426)
Al (0.591, 0.752, 0.574)
Al (0.752, 0.591, 0.074)
Ge (0.205, 0.795, 0.250)
Ge (0.795, 0.205, 0.750)
S (0.035, 0.224, 0.731)
S (0.224, 0.035, 0.231)
S (0.227, 0.654, 0.971)
S (0.346, 0.773, 0.529)
S (0.351, 0.403, 0.677)
S (0.403, 0.351, 0.177)
S (0.597, 0.649, 0.823)
S (0.649, 0.597, 0.323)
S (0.654, 0.227, 0.471)
S (0.773, 0.346, 0.029)
S (0.776, 0.965, 0.769)
S (0.965, 0.776, 0.269)



> Which formula does entry 2 have?

Zn3InB